# Dy8Al2Fe PBE relaxed
data_Dy8Al2Fe
_chemical_formula_sum 'Dy16 Al4 Fe2'
_cell_length_a 16.9918
_cell_length_b 5.3772
_cell_length_c 6.7926
_cell_angle_alpha 90.00
_cell_angle_beta 112.56
_cell_angle_gamma 90.00
_space_group_name_H-M_alt 'C 1 2/m 1'
_space_group_IT_number 12
_space_group_name_Hall '-C 2y'
loop_
_atom_site_label
_atom_site_type_symbol
_atom_site_fract_x
_atom_site_fract_y
_atom_site_fract_z
Dy1 Dy 0.0082 0.0000 0.2661
Dy2 Dy 0.1071 0.5000 0.8988
Dy3 Dy 0.1386 0.5000 0.4068
Dy4 Dy 0.1974 0.0000 0.7420
Al1 Al 0.1822 0.0000 0.1884
Fe1 Fe 0.0000 0.5000 0.5000
# Energy of formation (eV per atom): -0.12
# V (Å³ per cell): 573